1.
Density functional theory data (PBE-GGA) for crystalline YLuTcAg at its relaxed geometry.

The structure in extended XYZ format:
```
4
Lattice="-0.2725 -4.8530 -0.8148 2.4542 -2.0068 -3.7735 3.9176 -2.8658 0.8536" Properties=species:S:1:pos:R:3 pbc="T T T"
Tc 3.0497 -4.8628 -1.8674
Lu 1.5248 -2.4314 -0.9337
Y 4.5745 -7.2941 -2.8010
Ag 0.0000 0.0000 0.0000
```

calculated formation energy	-146	meV/atom
N(E_F)	2.40	states/eV per cell
final energy	-24.8	eV/cell

***

2.
Density functional theory data (PBE-GGA) for crystalline TcIrRu2 at its relaxed geometry.

The structure in extended XYZ format:
```
4
Lattice="2.7078 0.0000 0.0000 0.0000 3.8666 0.0000 0.0000 0.0000 5.4323" Properties=species:S:1:pos:R:3 pbc="T T T"
Ru 0.0000 0.0000 0.0153
Ru 0.0000 0.0000 2.7009
Ir 1.3539 1.9333 4.0742
Tc 1.3539 1.9333 1.3581
```

calculated formation energy	-9	meV/atom
E above lowest polymorph	0.127	eV/atom
N(E_F)	4.33	states/eV per cell
final energy	-37.8	eV/cell